[1]
This record from the Alexandria database describes a relaxed structure of DyYTh2N4. The functional is GGA-PBE.

Properties
DOS(E_F) = 0.324 states/eV per atom
DFT total energy = -9.0192 eV/atom
Size of the total moment = 0.00 μB per cell

Unit cell a=6.174 b=3.584 c=6.203 alpha=90.00 beta=109.57 gamma=90.00
Space group P2/m (No. 10)
Asymmetric unit:
Dy 0.000 0.000 0.000 (multiplicity 1)
Y 0.000 0.500 0.500 (multiplicity 1)
Th 0.500 0.000 0.500 (multiplicity 1)
Th 0.500 0.500 0.000 (multiplicity 1)
N 0.246 0.500 0.248 (multiplicity 2)
N 0.247 0.000 0.749 (multiplicity 2)

---

[2]
This record from the Alexandria database describes a relaxed structure of Dy2YThN4. The functional is GGA-PBE.

Properties
DOS(E_F) = 0.216 states/eV per atom
DFT total energy = -8.7211 eV/atom
Size of the total moment = 0.00 μB per cell

Unit cell a=6.102 b=3.536 c=6.102 alpha=90.00 beta=109.33 gamma=90.00
Space group P2/m (No. 10)
Asymmetric unit:
Dy 0.000 0.000 0.000 (multiplicity 1)
Dy 0.500 0.500 0.000 (multiplicity 1)
Y 0.000 0.500 0.500 (multiplicity 1)
Th 0.500 0.000 0.500 (multiplicity 1)
N 0.248 0.500 0.247 (multiplicity 2)
N 0.251 0.000 0.750 (multiplicity 2)

---

[3]
This record from the Alexandria database describes a relaxed structure of Dy2ThZr3N6. The functional is GGA-PBE.

Properties
DOS(E_F) = 0.349 states/eV per atom
DFT total energy = -9.3502 eV/atom
Size of the total moment = 0.00 μB per cell

Unit cell a=5.845 b=10.145 c=5.921 alpha=90.00 beta=109.14 gamma=90.00
Space group C2/m (No. 12)
Asymmetric unit:
Dy 0.000 0.167 0.000 (multiplicity 4)
Th 0.000 0.500 0.000 (multiplicity 2)
Zr 0.000 0.000 0.500 (multiplicity 2)
Zr 0.000 0.330 0.500 (multiplicity 4)
N 0.242 0.168 0.730 (multiplicity 8)
N 0.247 0.500 0.732 (multiplicity 4)

---

[4]
This record from the Alexandria database describes a relaxed structure of DyThZrN3. The functional is GGA-PBE.

Properties
DOS(E_F) = 0.347 states/eV per atom
DFT total energy = -9.1675 eV/atom
Size of the total moment = 0.00 μB per cell

Unit cell a=5.939 b=3.458 c=8.931 alpha=90.00 beta=102.77 gamma=90.00
Space group P2_1/m (No. 11)
Asymmetric unit:
Dy 0.231 0.250 0.452 (multiplicity 2)
Th 0.350 0.750 0.810 (multiplicity 2)
Zr 0.133 0.750 0.137 (multiplicity 2)
N 0.049 0.250 0.667 (multiplicity 2)
N 0.252 0.250 0.008 (multiplicity 2)
N 0.445 0.750 0.326 (multiplicity 2)